[1]
A relaxed RbSi6Pt12 crystal. Source: Alexandria via LeMat-Bulk, functional PBE-GGA.

Geometry as POSCAR:
```
RbSi6Pt12
1.0
6.9402 -0.1289 -1.8703
-2.4091 6.5100 -1.8703
-0.0916 -0.1289 7.1873
Pt Si Rb
12 6 1
Direct
0.5000 0.1266 0.8734
0.1768 0.4371 0.4371
0.1266 0.8734 0.5000
0.8734 0.5000 0.1266
0.4371 0.4371 0.1768
0.5629 0.8232 0.5629
0.4371 0.1768 0.4371
0.5000 0.8734 0.1266
0.8734 0.1266 0.5000
0.8232 0.5629 0.5629
0.1266 0.5000 0.8734
0.5629 0.5629 0.8232
0.6822 0.2496 0.2496
0.2496 0.6822 0.2496
0.7504 0.7504 0.3178
0.2496 0.2496 0.6822
0.7504 0.3178 0.7504
0.3178 0.7504 0.7504
0.0000 0.0000 0.0000
```

Computed properties:
Uncorrected formation energy: -0.56 eV/atom
Final energy: -6.14 eV per atom
Mass density: 13.5 g/cm³

---

[2]
A relaxed RbSi2Pt3 crystal. Source: Alexandria via LeMat-Bulk, functional PBE-GGA.

Geometry as POSCAR:
```
RbSi2Pt3
1.0
5.4639 0.0000 0.0000
0.0000 6.3025 -2.8717
0.0000 -0.4905 7.2946
Si Rb Pt
4 2 6
Direct
0.5047 0.6615 0.8234
0.9953 0.6615 0.8234
0.4953 0.3385 0.1766
0.0047 0.3385 0.1766
0.2500 0.0617 0.6255
0.7500 0.9383 0.3745
0.2500 0.5289 0.0238
0.7500 0.4711 0.9762
0.2500 0.5011 0.5028
0.7500 0.4989 0.4972
0.7500 0.0050 0.9760
0.2500 0.9950 0.0240
```

Computed properties:
Uncorrected formation energy: -0.62 eV/atom
Final energy: -5.61 eV per atom
Mass density: 9.9 g/cm³

---

[3]
A relaxed Rb2SiPt2 crystal. Source: Alexandria via LeMat-Bulk, functional PBE-GGA.

Geometry as POSCAR:
```
Rb2SiPt2
1.0
-3.9215 2.0330 4.6706
-4.5149 -4.1165 -1.9989
2.1555 -4.1121 3.5997
Pt Rb Si
4 4 2
Direct
0.8496 0.6504 0.0000
0.6504 0.1504 0.0000
0.3496 0.8496 0.0000
0.1504 0.3496 0.0000
0.6773 0.8227 0.5000
0.3227 0.1773 0.5000
0.8227 0.3227 0.5000
0.1773 0.6773 0.5000
0.5000 0.5000 0.0000
0.0000 0.0000 0.0000
```

Computed properties:
Uncorrected formation energy: -0.14 eV/atom
Final energy: -4.02 eV per atom
Mass density: 8.1 g/cm³

---

[4]
A relaxed Rb2SiPt crystal. Source: Alexandria via LeMat-Bulk, functional PBE-GGA.

Geometry as POSCAR:
```
Rb2SiPt
1.0
12.9099 0.0000 0.0000
0.0000 12.9099 0.0000
6.4550 6.4550 2.2871
Pt Si Rb
2 2 4
Direct
0.7500 0.2500 0.5000
0.0000 0.0000 0.0000
0.2500 0.7500 0.5000
0.5000 0.5000 0.0000
0.8750 0.0727 0.7500
0.3750 0.1773 0.7500
0.9273 0.6250 0.2500
0.8227 0.1250 0.2500
```

Computed properties:
Uncorrected formation energy: -0.17 eV/atom
Final energy: -3.52 eV per atom
Mass density: 3.4 g/cm³